# SrMgIr

A geometry-optimized SrMgIr structure (PBE, Alexandria).

abc: 4.523 4.523 4.259
angles: 90.00 90.00 120.00
Element x y z (fractional)
Sr 0.333 0.667 0.667
Mg 0.667 0.333 0.166
Ir 0.000 0.000 0.167

Properties
N(E_F) = 0.64 states/eV per atom
M_tot = 0.0 μB/f.u.
Space-group type = No. 187
E_tot = -12.38 eV per formula unit
Energy of formation = -23 kJ/mol of formula units

---

# Na2Rh2F7

A geometry-optimized Na2Rh2F7 structure (PBE, Alexandria).

abc: 4.698 7.084 7.084
angles: 121.56 107.47 107.47
Site moments in Bohr magnetons follow the coordinates.
Element x y z (fractional)
Na 0.500 0.314 0.686  0.00
Na 0.500 0.686 0.314  0.00
F 0.160 0.935 0.618  0.03
Rh 0.198 0.805 0.805  0.43
F 0.000 0.000 0.000  0.01
F 0.336 0.584 0.584  0.00
F 0.840 0.065 0.382  0.03
Rh 0.802 0.195 0.195  0.43
F 0.160 0.618 0.935  0.03
F 0.664 0.416 0.416  0.00
F 0.840 0.382 0.065  0.03

Properties
N(E_F) = 0.33 states/eV per atom
M_tot = 1.1 μB/f.u.
Space-group type = No. 12
E_tot = -50.86 eV per formula unit

---

# YZnGa2Ni4

A geometry-optimized YZnGa2Ni4 structure (PBE, Alexandria).

abc: 4.067 4.067 8.497
angles: 76.16 76.16 60.00
Element x y z (fractional)
Ga 0.241 0.241 0.277
Ni 0.404 0.404 0.788
Ga 0.759 0.759 0.723
Zn 0.500 0.500 0.500
Y 0.000 0.000 0.000
Ni 0.869 0.869 0.392
Ni 0.131 0.131 0.608
Ni 0.596 0.596 0.212

Properties
N(E_F) = 0.59 states/eV per atom
M_tot = 0.0 μB/f.u.
Space-group type = No. 166
E_tot = -40.12 eV per formula unit
Energy of formation = -309 kJ/mol of formula units

---

# Rb2CaCd2Te4

A geometry-optimized Rb2CaCd2Te4 structure (PBE, Alexandria).

abc: 4.640 8.788 9.031
angles: 108.10 104.88 90.00
Element x y z (fractional)
Cd 0.670 0.978 0.339
Te 0.795 0.811 0.590
Rb 0.876 0.444 0.752
Te 0.205 0.189 0.410
Ca 0.000 0.000 0.000
Cd 0.330 0.022 0.661
Rb 0.124 0.556 0.248
Te 0.487 0.241 0.974
Te 0.513 0.759 0.026

Properties
M_tot = 0.0 μB/f.u.
Space-group type = No. 12
E_tot = -26.96 eV per formula unit

---

# BiO2

A geometry-optimized BiO2 structure (PBE, Alexandria).

abc: 4.298 4.298 6.627
angles: 71.18 71.18 89.98
Element x y z (fractional)
O 0.319 0.070 0.861
O 0.930 0.681 0.639
O 0.681 0.930 0.139
Bi 0.875 0.125 0.750
Bi 0.125 0.875 0.250
O 0.070 0.319 0.361

Properties
N(E_F) = 0.33 states/eV per atom
M_tot = 0.0 μB/f.u.
Excess energy over the best structure of this formula in the dataset = 27 meV per atom
Space-group type = No. 15
E_tot = -16.71 eV per formula unit

---

# Ba2NaO2

A geometry-optimized Ba2NaO2 structure (PBE, Alexandria).

abc: 3.918 3.918 8.824
angles: 102.83 102.83 90.00
Element x y z (fractional)
Ba 0.667 0.667 0.335
O 0.176 0.176 0.351
Na 0.000 0.000 0.000
O 0.824 0.824 0.649
Ba 0.333 0.333 0.665

Properties
N(E_F) = 0.21 states/eV per atom
M_tot = 0.0 μB/f.u.
Excess energy over the best structure of this formula in the dataset = 0 meV per atom
Space-group type = No. 139
E_tot = -24.46 eV per formula unit

---

# NbAgN3

A geometry-optimized NbAgN3 structure (PBE, Alexandria).

abc: 3.900 3.900 3.900
angles: 90.00 90.00 90.00
Element x y z (fractional)
Nb 0.500 0.500 0.500
N 0.000 0.000 0.500
N 0.000 0.500 0.000
N 0.500 0.000 0.000
Ag 0.000 0.000 0.000

Properties
N(E_F) = 0.40 states/eV per atom
M_tot = 0.0 μB/f.u.
Space-group type = No. 221
E_tot = -27.90 eV per formula unit

---

# LiYZrTl

A geometry-optimized LiYZrTl structure (PBE, Alexandria).

abc: 5.107 5.107 5.107
angles: 60.00 60.00 60.00
Element x y z (fractional)
Tl 0.500 0.500 0.500
Y 0.750 0.750 0.750
Zr 0.250 0.250 0.250
Li 0.000 0.000 0.000

Properties
N(E_F) = 0.91 states/eV per atom
M_tot = 0.0 μB/f.u.
Space-group type = No. 216
E_tot = -19.44 eV per formula unit
Energy of formation = -14 kJ/mol of formula units

---

Among the records above, which one has the lowest E_tot? Na2Rh2F7

---

Among the records above, which one has the lowest E_tot? Na2Rh2F7